Compound: TaFeP2
Source: Alexandria via LeMat-Bulk
Functional: PBE-GGA
Structure: relaxed

N(E_F): 0.782 states/eV/atom
Excess energy over the best structure of this formula in the dataset: 0 kJ/mol of formula units
Total magnetic moment: 0.94 μB/cell
Formation energy: -0.52 eV per atom
Raw total energy: -8.3051 eV per atom
Calculated volume: 13.7 A^3/atom

Cell and atoms, written as CIF:
```
data_TaFeP2
_chemical_formula_sum 'Ta2 Fe2 P4'
_cell_length_a 3.253
_cell_length_b 3.255
_cell_length_c 10.340
_cell_angle_alpha 90.00
_cell_angle_beta 90.00
_cell_angle_gamma 90.00
_symmetry_space_group_name_H-M 'I m m 2'
_symmetry_Int_Tables_number 44
loop_
_symmetry_equiv_pos_as_xyz
'x,y,z'
'-x,-y,z'
'-x,y,z'
'x,-y,z'
'x+1/2,y+1/2,z+1/2'
'-x+1/2,-y+1/2,z+1/2'
'-x+1/2,y+1/2,z+1/2'
'x+1/2,-y+1/2,z+1/2'
loop_
_atom_site_label
_atom_site_type_symbol
_atom_site_fract_x
_atom_site_fract_y
_atom_site_fract_z
_atom_site_occupancy
Ta1 Ta 0.000 0.000 0.000 1
Fe1 Fe 0.000 0.500 0.752 1
P1 P 0.000 0.000 0.597 1
P2 P 0.000 0.500 0.316 1
```